A plane-wave DFT calculation with PBE was carried out for Cs3Cd2Cl8 after structural relaxation.

Results
V in Å³/atom: 36.781
Energy in eV/atom: -2.853
Energy relative to the elements, uncorrected in eV per atom: -1.378
Magnetic moment in μB per formula unit: 0.9

Cell: 10.8740 10.8740 10.8740 Å, 39.97 39.97 39.97°
Last column: nearest neighbours and their distance in Å.
Positions (direct):
Cs (0.0000, 0.0000, 0.0000)  6 Cl 3.69
Cs (0.2059, 0.2059, 0.2059)  10 Cl 3.45-3.79
Cs (0.7941, 0.7941, 0.7941)  10 Cl 3.45-3.79
Cd (0.4024, 0.4024, 0.4024)  4 Cl 2.45-2.49
Cd (0.5976, 0.5976, 0.5976)  4 Cl 2.45-2.49
Cl (0.2103, 0.7404, 0.7404)  1 Cd 2.49
Cl (0.2596, 0.2596, 0.7897)  1 Cd 2.49
Cl (0.2596, 0.7897, 0.2596)  1 Cd 2.49
Cl (0.3208, 0.3208, 0.3208)  1 Cd 2.45
Cl (0.6792, 0.6792, 0.6792)  1 Cd 2.45
Cl (0.7404, 0.2103, 0.7404)  1 Cd 2.49
Cl (0.7404, 0.7404, 0.2103)  1 Cd 2.49
Cl (0.7897, 0.2596, 0.2596)  1 Cd 2.49

=====

A plane-wave DFT calculation with PBE was carried out for K2MgSn4Pb3 after structural relaxation.

Results
V in Å³/atom: 34.778
Energy in eV/atom: -3.198
Magnetic moment in μB per formula unit: 0.0

Cell: 5.0450 5.0450 13.6640 Å, 90.00 90.00 90.00°
Last column: nearest neighbours and their distance in Å.
Positions (direct):
K (0.0000, 0.5000, 0.2424)  8 Sn 3.89-4.33, 6 Pb 3.92-4.16, 2 Mg 4.16
K (0.5000, 0.0000, 0.7576)  8 Sn 3.89-4.33, 6 Pb 3.92-4.16, 2 Mg 4.16
Mg (0.5000, 0.5000, 0.0000)  4 Sn 3.08
Sn (0.0000, 0.0000, 0.5000)  4 Pb 3.15
Sn (0.0000, 0.5000, 0.8707)  2 Mg 3.08, 3 Pb 3.08-3.18
Sn (0.5000, 0.0000, 0.1293)  2 Mg 3.08, 3 Pb 3.08-3.18
Sn (0.5000, 0.5000, 0.5000)  4 Pb 3.15
Pb (0.0000, 0.0000, 0.0000)  4 Sn 3.08
Pb (0.0000, 0.5000, 0.6381)  5 Sn 3.15-3.18
Pb (0.5000, 0.0000, 0.3619)  5 Sn 3.15-3.18

=====

A plane-wave DFT calculation with PBE was carried out for Cs4Rb3Pd after structural relaxation.

Results
V in Å³/atom: 92.626
Energy in eV/atom: -1.383
Magnetic moment in μB per formula unit: 0.0

Cell: 11.0616 13.7259 9.7610 Å, 90.00 90.00 90.00°
Last column: nearest neighbours and their distance in Å.
Positions (direct):
Cs (0.0472, 0.2500, 0.2345)  1 Pd 3.30
Cs (0.2500, 0.5755, 0.4833)  1 Pd 3.44
Cs (0.2500, 0.9245, 0.4833)  1 Pd 3.44
Cs (0.4528, 0.2500, 0.2345)  1 Pd 3.30
Cs (0.5472, 0.7500, 0.7655)  1 Pd 3.30
Cs (0.7500, 0.0755, 0.5167)  1 Pd 3.44
Cs (0.7500, 0.4245, 0.5167)  1 Pd 3.44
Cs (0.9528, 0.7500, 0.7655)  1 Pd 3.30
Rb (0.2500, 0.2500, 0.7435)  2 Rb 4.99, 6 Cs 5.14-5.45
Rb (0.2500, 0.5704, 0.9852)  1 Pd 3.46
Rb (0.2500, 0.9296, 0.9852)  1 Pd 3.46
Rb (0.7500, 0.0704, 0.0148)  1 Pd 3.46
Rb (0.7500, 0.4296, 0.0148)  1 Pd 3.46
Rb (0.7500, 0.7500, 0.2565)  2 Rb 4.99, 6 Cs 5.14-5.45
Pd (0.2500, 0.7500, 0.7366)  4 Cs 3.30-3.44, 2 Rb 3.46
Pd (0.7500, 0.2500, 0.2634)  4 Cs 3.30-3.44, 2 Rb 3.46

=====

A plane-wave DFT calculation with PBE was carried out for CeTm2ThBi4 after structural relaxation.

Results
V in Å³/atom: 32.589
Energy in eV/atom: -5.465
Magnetic moment in μB per formula unit: 1.0

Cell: 7.7999 4.5253 7.8366 Å, 90.00 109.52 90.00°
Last column: nearest neighbours and their distance in Å.
Positions (direct):
Ce (0.0000, 0.0000, 0.0000)  6 Bi 3.24
Tm (0.5000, 0.0000, 0.5000)  6 Bi 3.14-3.15
Tm (0.5000, 0.5000, 0.0000)  6 Bi 3.14
Th (0.0000, 0.5000, 0.5000)  6 Bi 3.24-3.25
Bi (0.2621, 0.0000, 0.7544)  3 Tm 3.14, 1 Ce 3.24, 2 Th 3.25
Bi (0.2615, 0.5000, 0.2537)  3 Tm 3.14-3.15, 1 Th 3.24, 2 Ce 3.24
Bi (0.7379, 0.0000, 0.2456)  3 Tm 3.14, 1 Ce 3.24, 2 Th 3.25
Bi (0.7385, 0.5000, 0.7463)  3 Tm 3.14-3.15, 1 Th 3.24, 2 Ce 3.24

=====

A plane-wave DFT calculation with PBE was carried out for CsOsO2 after structural relaxation.

Results
V in Å³/atom: 20.127
Energy in eV/atom: -6.081
Energy relative to the elements, uncorrected in eV per atom: -0.582
Magnetic moment in μB per formula unit: 0.0

Cell: 6.7827 6.7827 6.7827 Å, 133.57 133.57 67.76°
Last column: nearest neighbours and their distance in Å.
Positions (direct):
Cs (0.3750, 0.6250, 0.7500)  8 O 3.30
Cs (0.6250, 0.3750, 0.2500)  8 O 3.30
Os (0.1250, 0.8750, 0.2500)  4 O 1.94
Os (0.8750, 0.1250, 0.7500)  4 O 1.94
O (0.0000, 0.0000, 0.0000)  2 Os 1.94
O (0.0000, 0.0000, 0.5000)  2 Os 1.94
O (0.0000, 0.5000, 0.0000)  2 Os 1.94
O (0.5000, 0.0000, 0.5000)  2 Os 1.94

=====

A plane-wave DFT calculation with PBE was carried out for Pm12H5Os3 after structural relaxation.

Results
V in Å³/atom: 23.303
Energy in eV/atom: -5.586
Magnetic moment in μB per formula unit: 0.0

Cell: 13.4290 13.4290 13.4290 Å, 109.47 109.47 109.47°
Last column: nearest neighbours and their distance in Å.
Positions (direct):
Pm (0.0314, 0.2187, 0.1238)  1 H 2.28
Pm (0.0314, 0.3127, 0.9077)  1 H 2.28
Pm (0.0923, 0.6238, 0.4050)  1 H 2.28
Pm (0.0923, 0.9686, 0.6873)  1 H 2.28
Pm (0.0950, 0.7187, 0.6873)  1 H 2.28
Pm (0.0950, 0.8762, 0.4077)  1 H 2.28
Pm (0.1238, 0.0314, 0.2187)  1 H 2.28
Pm (0.1238, 0.5923, 0.9050)  1 H 2.28
Pm (0.1873, 0.2187, 0.5950)  1 H 2.28
Pm (0.1873, 0.4686, 0.5923)  1 H 2.28
Pm (0.2187, 0.1238, 0.0314)  1 H 2.28
Pm (0.2187, 0.5950, 0.1873)  1 H 2.28
Pm (0.2813, 0.3127, 0.9050)  1 H 2.28
Pm (0.2813, 0.4686, 0.3762)  1 H 2.28
Pm (0.3127, 0.9050, 0.2813)  1 H 2.28
Pm (0.3127, 0.9077, 0.0314)  1 H 2.28
Pm (0.3762, 0.2813, 0.4686)  1 H 2.28
Pm (0.3762, 0.5950, 0.9077)  1 H 2.28
Pm (0.4050, 0.0923, 0.6238)  1 H 2.28
Pm (0.4050, 0.8127, 0.7813)  1 H 2.28
Pm (0.4077, 0.0950, 0.8762)  1 H 2.28
Pm (0.4077, 0.8127, 0.5314)  1 H 2.28
Pm (0.4686, 0.3762, 0.2813)  1 H 2.28
Pm (0.4686, 0.5923, 0.1873)  1 H 2.28
Pm (0.5314, 0.4077, 0.8127)  1 H 2.28
Pm (0.5314, 0.6238, 0.7187)  1 H 2.28
Pm (0.5923, 0.1873, 0.4686)  1 H 2.28
Pm (0.5923, 0.9050, 0.1238)  1 H 2.28
Pm (0.5950, 0.1873, 0.2187)  1 H 2.28
Pm (0.5950, 0.9077, 0.3762)  1 H 2.28
Pm (0.6238, 0.4050, 0.0923)  1 H 2.28
Pm (0.6238, 0.7187, 0.5314)  1 H 2.28
Pm (0.6873, 0.0923, 0.9686)  1 H 2.28
Pm (0.6873, 0.0950, 0.7187)  1 H 2.28
Pm (0.7187, 0.5314, 0.6238)  1 H 2.28
Pm (0.7187, 0.6873, 0.0950)  1 H 2.28
Pm (0.7813, 0.4050, 0.8127)  1 H 2.28
Pm (0.7813, 0.8762, 0.9686)  1 H 2.28
Pm (0.8127, 0.5314, 0.4077)  1 H 2.28
Pm (0.8127, 0.7813, 0.4050)  1 H 2.28
Pm (0.8762, 0.4077, 0.0950)  1 H 2.28
Pm (0.8762, 0.9686, 0.7813)  1 H 2.28
Pm (0.9050, 0.1238, 0.5923)  1 H 2.28
Pm (0.9050, 0.2813, 0.3127)  1 H 2.28
Pm (0.9077, 0.0314, 0.3127)  1 H 2.28
Pm (0.9077, 0.3762, 0.5950)  1 H 2.28
Pm (0.9686, 0.6873, 0.0923)  1 H 2.28
Pm (0.9686, 0.7813, 0.8762)  1 H 2.28
H (0.0000, 0.0000, 0.0000)  6 Pm 2.65
H (0.0000, 0.0000, 0.5000)  6 Pm 2.65
H (0.0000, 0.5000, 0.0000)  6 Pm 2.65
H (0.0000, 0.5000, 0.5000)  6 Pm 2.65
H (0.1250, 0.7500, 0.8750)  4 Pm 2.28
H (0.1250, 0.8750, 0.2500)  4 Pm 2.28
H (0.2500, 0.1250, 0.8750)  4 Pm 2.28
H (0.2500, 0.6250, 0.3750)  4 Pm 2.28
H (0.3750, 0.2500, 0.6250)  4 Pm 2.28
H (0.3750, 0.6250, 0.7500)  4 Pm 2.28
H (0.5000, 0.0000, 0.0000)  6 Pm 2.65
H (0.5000, 0.0000, 0.5000)  6 Pm 2.65
H (0.5000, 0.5000, 0.0000)  6 Pm 2.65
H (0.5000, 0.5000, 0.5000)  6 Pm 2.65
H (0.6250, 0.3750, 0.2500)  4 Pm 2.28
H (0.6250, 0.7500, 0.3750)  4 Pm 2.28
H (0.7500, 0.3750, 0.6250)  4 Pm 2.28
H (0.7500, 0.8750, 0.1250)  4 Pm 2.28
H (0.8750, 0.1250, 0.7500)  4 Pm 2.28
H (0.8750, 0.2500, 0.1250)  4 Pm 2.28
Os (0.1250, 0.2500, 0.3750)  8 Pm 2.98-3.00
Os (0.1250, 0.3750, 0.7500)  8 Pm 2.98-3.00
Os (0.2500, 0.3750, 0.1250)  8 Pm 2.98-3.00
Os (0.2500, 0.8750, 0.6250)  8 Pm 2.98-3.00
Os (0.3750, 0.1250, 0.2500)  8 Pm 2.98-3.00
Os (0.3750, 0.7500, 0.1250)  8 Pm 2.98-3.00
Os (0.6250, 0.2500, 0.8750)  8 Pm 2.98-3.00
Os (0.6250, 0.8750, 0.7500)  8 Pm 2.98-3.00
Os (0.7500, 0.1250, 0.3750)  8 Pm 2.98-3.00
Os (0.7500, 0.6250, 0.8750)  8 Pm 2.98-3.00
Os (0.8750, 0.6250, 0.2500)  8 Pm 2.98-3.00
Os (0.8750, 0.7500, 0.6250)  8 Pm 2.98-3.00

=====

A plane-wave DFT calculation with PBE was carried out for Ce2TcSn after structural relaxation.

Results
V in Å³/atom: 30.611
Energy in eV/atom: -6.360
Magnetic moment in μB per formula unit: 0.0
Polymorph energy (0 for the lowest one) in eV per formula unit: 2.070

Cell: 9.9898 9.9898 9.9898 Å, 21.98 21.98 21.98°
Last column: nearest neighbours and their distance in Å.
Positions (direct):
Ce (0.1115, 0.1115, 0.1115)  3 Tc 2.73
Ce (0.8885, 0.8885, 0.8885)  3 Tc 2.73
Tc (0.5000, 0.5000, 0.5000)  6 Ce 2.73
Sn (0.0000, 0.0000, 0.0000)  2 Ce 3.26

=====

A plane-wave DFT calculation with PBE was carried out for YNiSe after structural relaxation.

Results
V in Å³/atom: 21.486
Energy in eV/atom: -5.804
Energy relative to the elements, uncorrected in eV per atom: -0.561
Magnetic moment in μB per formula unit: 0.4
Polymorph energy (0 for the lowest one) in eV per formula unit: 1.465

Cell: 10.1770 3.8132 3.8132 Å, 60.60 90.00 90.00°
Last column: nearest neighbours and their distance in Å.
Positions (direct):
Y (0.1743, 0.0000, 0.0000)  3 Ni 2.83-2.84, 3 Se 2.85
Y (0.8257, 0.0000, 0.0000)  3 Ni 2.83-2.84, 3 Se 2.85
Ni (0.0000, 0.3372, 0.3372)  6 Y 2.83-2.84
Ni (0.5000, 0.0255, 0.0255)  6 Se 2.54-2.75
Se (0.3507, 0.3354, 0.3354)  3 Ni 2.54-2.75, 3 Y 2.85
Se (0.6493, 0.3354, 0.3354)  3 Ni 2.54-2.75, 3 Y 2.85